A relaxed RbCa2LaIr crystal. Source: Alexandria via LeMat-Bulk, functional PBE.

Cell: 5.9190 5.9190 5.5349 Å, 90.00 90.00 90.00°
Fractional positions:
Rb 0.0000 0.0000 0.0000
Ca 0.0000 0.5000 0.5000
Ca 0.5000 0.0000 0.5000
La 0.5000 0.5000 0.0000
Ir 0.5000 0.5000 0.5000

## Properties
- energy of formation from the pure elements (eV per atom) = -0.19
- E (eV/atom) = -3.94
- density of states at the Fermi level (states/eV per atom) = 0.574



A relaxed RbCaLa2Ir crystal. Source: Alexandria via LeMat-Bulk, functional PBE.

Cell: 5.7010 5.7010 6.0471 Å, 90.00 90.00 90.00°
Fractional positions:
Rb 0.0000 0.0000 0.0000
Ca 0.5000 0.5000 0.0000
La 0.0000 0.5000 0.5000
La 0.5000 0.0000 0.5000
Ir 0.5000 0.5000 0.5000

## Properties
- energy of formation from the pure elements (eV per atom) = -0.19
- E (eV/atom) = -4.53
- density of states at the Fermi level (states/eV per atom) = 0.945



A relaxed CaLa2SbIr crystal. Source: Alexandria via LeMat-Bulk, functional PBE.

Cell: 5.4716 5.4716 5.5507 Å, 90.00 90.00 90.00°
Fractional positions:
Ca 0.0000 0.0000 0.0000
La 0.0000 0.5000 0.5000
La 0.5000 0.0000 0.5000
Sb 0.5000 0.5000 0.0000
Ir 0.0000 0.0000 0.5000

## Properties
- E (eV/atom) = -5.64
- density of states at the Fermi level (states/eV per atom) = 0.858



A relaxed CaLa2ScIr crystal. Source: Alexandria via LeMat-Bulk, functional PBE.

Cell: 5.6872 5.6872 5.2742 Å, 90.00 90.00 90.00°
Fractional positions:
Ca 0.0000 0.0000 0.0000
La 0.0000 0.5000 0.5000
La 0.5000 0.0000 0.5000
Sc 0.5000 0.5000 0.0000
Ir 0.5000 0.5000 0.5000

## Properties
- energy of formation from the pure elements (eV per atom) = -0.31
- E (eV/atom) = -5.72
- density of states at the Fermi level (states/eV per atom) = 1.189



A relaxed CaLa2SnIr crystal. Source: Alexandria via LeMat-Bulk, functional PBE.

Cell: 5.5054 5.5054 5.5050 Å, 90.00 90.00 90.00°
Fractional positions:
Ca 0.0000 0.0000 0.0000
La 0.0000 0.5000 0.5000
La 0.5000 0.0000 0.5000
Sn 0.5000 0.5000 0.0000
Ir 0.0000 0.0000 0.5000

## Properties
- energy of formation from the pure elements (eV per atom) = -0.55
- E (eV/atom) = -5.50
- density of states at the Fermi level (states/eV per atom) = 0.529



A relaxed CaLa2TeIr crystal. Source: Alexandria via LeMat-Bulk, functional PBE.

Cell: 5.4888 5.4888 5.6741 Å, 90.00 90.00 90.00°
Fractional positions:
Ca 0.0000 0.0000 0.0000
La 0.0000 0.5000 0.5000
La 0.5000 0.0000 0.5000
Te 0.5000 0.5000 0.0000
Ir 0.0000 0.0000 0.5000

## Properties
- E (eV/atom) = -5.52
- density of states at the Fermi level (states/eV per atom) = 1.012



A relaxed CaLaTlIr crystal. Source: Alexandria via LeMat-Bulk, functional PBE.

Cell: 5.2370 5.2370 5.2370 Å, 60.00 60.00 60.00°
Fractional positions:
Ca 0.0000 0.0000 0.0000
La 0.5000 0.5000 0.5000
Tl 0.7500 0.7500 0.7500
Ir 0.2500 0.2500 0.2500

## Properties
- energy of formation from the pure elements (eV per atom) = -0.34
- E (eV/atom) = -4.88
- density of states at the Fermi level (states/eV per atom) = 0.572



A relaxed Ca2LaTlIr crystal. Source: Alexandria via LeMat-Bulk, functional PBE.

Cell: 5.5584 5.5584 5.4682 Å, 90.00 90.00 90.00°
Fractional positions:
Ca 0.0000 0.5000 0.0000
Ca 0.5000 0.0000 0.0000
La 0.0000 0.0000 0.5000
Tl 0.5000 0.5000 0.5000
Ir 0.0000 0.0000 0.0000

## Properties
- energy of formation from the pure elements (eV per atom) = -0.36
- E (eV/atom) = -4.39
- density of states at the Fermi level (states/eV per atom) = 0.872



Number 1: magnetization 0.000 μB per formula unit. Number 2: magnetization 0.000 μB per formula unit. Number 3: magnetization 0.000 μB per formula unit. Number 4: magnetization 0.000 μB per formula unit. Number 5: magnetization 0.000 μB per formula unit. Number 6: magnetization 0.000 μB per formula unit. Number 7: magnetization 0.000 μB per formula unit. Number 8: magnetization 0.000 μB per formula unit.